# 1
The following is a PBE-GGA calculation of a relaxed structure of ZrReRh2, from the Alexandria database.

Output
Total magnetization: 0.000 μB/atom
VASP energy: -9.25 eV per atom
Formation enthalpy at 0 K: -1.3 eV/f.u.

Cell lengths 5.681, 7.836, 2.842 Å; angles 90.00, 90.00, 90.00 degrees
Space group Cmmm (No. 65)
One atom of each set of equivalent atoms:
Zr: 0.000 0.000 0.000 (multiplicity 2)
Re: 0.000 0.500 0.000 (multiplicity 2)
Rh: 0.250 0.250 0.500 (multiplicity 4)

# 2
The following is a PBE-GGA calculation of a relaxed structure of AlZn4Ga5, from the Alexandria database.

Output
Total magnetization: 0.000 μB/atom
VASP energy: -2.28 eV per atom
Formation enthalpy at 0 K: 1.2 eV/f.u.

Cell lengths 8.205, 8.214, 5.943 Å; angles 90.00, 90.00, 90.00 degrees
Space group Pmmn (No. 59, origin choice 2)
One atom of each set of equivalent atoms:
Al: 0.250 0.250 0.237 (multiplicity 2)
Zn: 0.081 0.250 0.612 (multiplicity 4)
Zn: 0.250 0.035 0.909 (multiplicity 4)
Ga: 0.028 0.024 0.256 (multiplicity 8)
Ga: 0.250 0.750 0.168 (multiplicity 2)